This record from the Alexandria database describes a relaxed structure of Ac2Mg3CdIn4. The functional is PBE.

Results
SG: P-4m2, No. 115

Cell lengths 4.783, 4.783, 12.118 Å; angles 90.00, 90.00, 90.00 degrees
Positions (direct):
Mg: 0.500 0.000 0.864
Cd: 0.500 0.500 0.500
Ac: 0.000 0.500 0.750
In: 0.500 0.500 0.000
Ac: 0.500 0.000 0.250
In: 0.000 0.000 0.000
In: 0.500 0.000 0.638
Mg: 0.000 0.500 0.136
Mg: 0.000 0.000 0.500
In: 0.000 0.500 0.362

=====

This record from the Alexandria database describes a relaxed structure of LaMgAs2. The functional is PBE.

Results
SG: I-42d, No. 122

Cell lengths 7.585, 7.585, 6.406 Å; angles 53.69, 53.69, 90.00 degrees
Positions (direct):
As: 0.375 0.408 0.750
As: 0.158 0.625 0.250
As: 0.592 0.125 0.250
Mg: 0.250 0.750 0.500
As: 0.875 0.842 0.750
La: 0.000 0.000 0.000
Mg: 0.500 0.500 0.000
La: 0.750 0.250 0.500

=====

This record from the Alexandria database describes a relaxed structure of SmAl7Au3. The functional is PBE.

Results
SG: R-3c, No. 167

Cell lengths 8.483, 8.483, 8.483 Å; angles 57.29, 57.29, 57.29 degrees
Positions (direct):
Al: 0.832 0.647 0.430
Al: 0.750 0.750 0.750
Al: 0.853 0.668 0.070
Al: 0.147 0.332 0.930
Al: 0.353 0.570 0.168
Al: 0.647 0.430 0.832
Au: 0.750 0.428 0.072
Al: 0.250 0.250 0.250
Al: 0.070 0.853 0.668
Al: 0.668 0.070 0.853
Sm: 0.000 0.000 0.000
Au: 0.072 0.750 0.428
Al: 0.332 0.930 0.147
Sm: 0.500 0.500 0.500
Au: 0.572 0.928 0.250
Au: 0.428 0.072 0.750
Al: 0.570 0.168 0.353
Al: 0.430 0.832 0.647
Au: 0.250 0.572 0.928
Al: 0.930 0.147 0.332
Al: 0.168 0.353 0.570
Au: 0.928 0.250 0.572

=====

Number 1: E_form -0.322 eV per atom, density 6.58 g/cm³. Number 2: E_form -0.796 eV per atom, density 5.16 g/cm³. Number 3: E_form -0.523 eV per atom, density 7.63 g/cm³.